VASP calculation (GGA-PBE) on an optimized crystal structure of Al3RhN.

For the uncorrected formation energy, the calculation gives 0.677 eV/atom. The calculation puts the total energy at -23.52 eV/cell.

The space group is Pm-3m (No. 221) and the conventional cell measures 4.682, 4.682 and 4.682 Å, with angles of 90.00, 90.00 and 90.00 degrees. The distinct sites, in fractional coordinates, are Al at (0.000, 0.000, 0.500), Rh at (0.000, 0.000, 0.000) and N at (0.500, 0.500, 0.500).